{
  "formula": "LaHoHg4",
  "functional": "PBE",
  "state": "optimized geometry",
  "delta_e_f_mev_per_atom": -376,
  "energy_ev_per_atom": -2.1615,
  "m_tot_mub_per_cell": 0.3,
  "dos_ef_per_ev_fu": 3.9,
  "cell": [[10.5677, 0.0000, 0.0000], [0.0000, 3.9390, 0.0000], [-2.9292, 0.0000, 7.6209]],
  "species": ["La", "La", "Ho", "Ho", "Hg", "Hg", "Hg", "Hg", "Hg", "Hg", "Hg", "Hg"],
  "fractional_positions": [[0.0000, 0.0000, 0.0000], [0.5000, 0.5000, 0.0000], [0.0000, 0.0000, 0.5000], [0.5000, 0.5000, 0.5000], [0.1657, 0.5000, 0.8152], [0.1687, 0.5000, 0.3470], [0.3313, 0.0000, 0.6530], [0.3343, 0.0000, 0.1848], [0.6657, 0.0000, 0.8152], [0.6687, 0.0000, 0.3470], [0.8313, 0.5000, 0.6530], [0.8343, 0.5000, 0.1848]]
}

{
  "formula": "RbMgIn4",
  "functional": "PBE",
  "state": "optimized geometry",
  "delta_e_f_mev_per_atom": 25,
  "energy_ev_per_atom": -2.2276,
  "m_tot_mub_per_cell": 0.0,
  "dos_ef_per_ev_fu": 2.1,
  "cell": [[0.0000, 4.4971, 4.4971], [4.4971, 0.0000, 4.4971], [4.4971, 4.4971, 0.0000]],
  "species": ["Rb", "Mg", "In", "In", "In", "In"],
  "fractional_positions": [[0.0000, 0.0000, 0.0000], [0.7500, 0.7500, 0.7500], [0.3755, 0.3755, 0.3755], [0.3755, 0.3755, 0.8735], [0.3755, 0.8735, 0.3755], [0.8735, 0.3755, 0.3755]]
}

{
  "formula": "ErIrPb2O6",
  "functional": "PBE",
  "state": "optimized geometry",
  "energy_ev_per_atom": -6.6453,
  "m_tot_mub_per_cell": 2.5,
  "dos_ef_per_ev_fu": 6.4,
  "cell": [[5.8405, 0.0000, 0.0000], [0.0000, 5.8496, 0.0000], [-5.8030, 0.0000, 8.2488]],
  "species": ["Er", "Er", "Ir", "Ir", "Pb", "Pb", "Pb", "Pb", "O", "O", "O", "O", "O", "O", "O", "O", "O", "O", "O", "O"],
  "fractional_positions": [[0.0000, 0.0000, 0.0000], [0.0000, 0.5000, 0.5000], [0.5000, 0.0000, 0.5000], [0.5000, 0.5000, 0.0000], [0.2608, 0.0271, 0.7522], [0.2608, 0.4729, 0.2522], [0.7392, 0.5271, 0.7478], [0.7392, 0.9729, 0.2478], [0.1901, 0.0151, 0.2653], [0.1901, 0.4849, 0.7653], [0.2756, 0.7046, 0.0419], [0.2756, 0.7954, 0.5419], [0.3404, 0.2293, 0.0394], [0.3404, 0.2707, 0.5394], [0.6596, 0.7293, 0.4606], [0.6596, 0.7707, 0.9606], [0.7244, 0.2046, 0.4581], [0.7244, 0.2954, 0.9581], [0.8099, 0.5151, 0.2347], [0.8099, 0.9849, 0.7347]]
}

{
  "formula": "CrCuSe3",
  "functional": "PBE",
  "state": "optimized geometry",
  "energy_ev_per_atom": -4.3288,
  "m_tot_mub_per_cell": 0.0,
  "dos_ef_per_ev_fu": 5.0,
  "cell": [[4.6983, 0.0000, 0.0000], [0.0000, 4.6983, 0.0000], [0.0000, 0.0000, 4.6983]],
  "species": ["Cr", "Cu", "Se", "Se", "Se"],
  "fractional_positions": [[0.0000, 0.0000, 0.0000], [0.5000, 0.5000, 0.5000], [0.0000, 0.0000, 0.5000], [0.0000, 0.5000, 0.0000], [0.5000, 0.0000, 0.0000]]
}

{
  "formula": "AcAsAu",
  "functional": "PBE",
  "state": "optimized geometry",
  "delta_e_f_mev_per_atom": -965,
  "energy_ev_per_atom": -4.9769,
  "m_tot_mub_per_cell": 0.0,
  "dos_ef_per_ev_fu": 1.0,
  "cell": [[11.9198, 0.0000, 0.0000], [0.0000, 4.4916, 0.0000], [-5.4959, 0.0000, 5.9487]],
  "species": ["Ac", "Ac", "Ac", "Ac", "As", "As", "As", "As", "Au", "Au", "Au", "Au"],
  "fractional_positions": [[0.0002, 0.0000, 0.2467], [0.9998, 0.0000, 0.7533], [0.5002, 0.5000, 0.2467], [0.4998, 0.5000, 0.7533], [0.1860, 0.5000, 0.1855], [0.3140, 0.0000, 0.8145], [0.6860, 0.0000, 0.1855], [0.8140, 0.5000, 0.8145], [0.1594, 0.5000, 0.6600], [0.3406, 0.0000, 0.3400], [0.6594, 0.0000, 0.6600], [0.8406, 0.5000, 0.3400]]
}

{
  "formula": "Al2CoTe",
  "functional": "PBE",
  "state": "optimized geometry",
  "energy_ev_per_atom": -4.1797,
  "m_tot_mub_per_cell": 0.6,
  "dos_ef_per_ev_fu": 2.6,
  "cell": [[5.1974, 0.0000, 0.0000], [0.0000, 7.7140, 0.0000], [0.0000, 0.0000, 3.4341]],
  "species": ["Al", "Al", "Al", "Al", "Co", "Co", "Te", "Te"],
  "fractional_positions": [[0.2500, 0.2500, 0.0000], [0.2500, 0.7500, 0.0000], [0.7500, 0.2500, 0.0000], [0.7500, 0.7500, 0.0000], [0.0000, 0.0000, 0.5000], [0.5000, 0.5000, 0.5000], [0.0000, 0.5000, 0.5000], [0.5000, 0.0000, 0.5000]]
}

{
  "formula": "LaBi2As2Pd7",
  "functional": "PBE",
  "state": "optimized geometry",
  "delta_e_f_mev_per_atom": -419,
  "energy_ev_per_atom": -5.2803,
  "m_tot_mub_per_cell": 0.0,
  "dos_ef_per_ev_fu": 4.3,
  "cell": [[3.0648, -3.5693, 0.0000], [3.0648, 3.5693, 0.0000], [-1.1025, 0.0000, 11.6653]],
  "species": ["La", "Bi", "Bi", "As", "As", "Pd", "Pd", "Pd", "Pd", "Pd", "Pd", "Pd"],
  "fractional_positions": [[0.0000, 0.0000, 0.0000], [0.1514, 0.1514, 0.3814], [0.8486, 0.8486, 0.6186], [0.3049, 0.3049, 0.8068], [0.6951, 0.6951, 0.1932], [0.1718, 0.5657, 0.2134], [0.3735, 0.3735, 0.5988], [0.4343, 0.8282, 0.7866], [0.5000, 0.5000, 0.0000], [0.5657, 0.1718, 0.2134], [0.6265, 0.6265, 0.4012], [0.8282, 0.4343, 0.7866]]
}

{
  "formula": "Al2SnTe4",
  "functional": "PBE",
  "state": "optimized geometry",
  "energy_ev_per_atom": -3.7312,
  "m_tot_mub_per_cell": 0.0,
  "cell": [[6.0228, 0.0000, 0.0000], [0.0000, 6.0228, 0.0000], [0.0000, 0.0000, 7.2889]],
  "species": ["Al", "Al", "Sn", "Te", "Te", "Te", "Te"],
  "fractional_positions": [[0.0000, 0.5000, 0.0000], [0.5000, 0.0000, 0.0000], [0.0000, 0.0000, 0.5000], [0.2744, 0.2744, 0.7801], [0.2744, 0.7256, 0.2199], [0.7256, 0.2744, 0.2199], [0.7256, 0.7256, 0.7801]]
}